Below is a relaxed NiAgPF2 crystal, with properties calculated at the PBE+U level.

volume	19.2	Å³/atom
total DFT energy (no corrections)	-14.29	eV for the cell shown

```
data_NiAgPF2
_cell_length_a 4.016
_cell_length_b 4.016
_cell_length_c 5.945
_cell_angle_alpha 90.00
_cell_angle_beta 90.00
_cell_angle_gamma 90.00
_space_group_name_H-M_alt 'P 4/m m m'
_space_group_IT_number 123
_space_group_name_Hall '-P 4 2'
loop_
_atom_site_label
_atom_site_fract_x
_atom_site_fract_y
_atom_site_fract_z
Ni1 0.000 0.000 0.000
Ag1 0.000 0.000 0.500
P1 0.500 0.500 0.000
F1 0.000 0.500 0.500
```